# TaCr2Br

A relaxed TaCr2Br crystal (GGA-PBE, the Alexandria database).

The space group is C2/m (No. 12) and the conventional cell measures 8.7701, 3.0924 and 4.9523 Å, with angles of 90.00, 103.45 and 90.00 degrees. The inequivalent atoms are Ta at (0.0000, 0.0000, 0.0000), Cr at (0.2419, 0.5000, 0.2236) and Br at (0.0000, 0.5000, 0.5000).

The energy relative to the lowest polymorph listed for this composition comes out at 491 meV/atom. The value obtained for the theoretical density is 9.28 Mg/m³. The calculation puts the density of states at the Fermi level at 4.08 states/eV/f.u. The total energy is -7.394 eV per atom. The uncorrected formation energy is 77 kJ per mole of atoms. The value obtained for the size of the total moment is 3.73 μB per formula unit.